## one
A plane-wave DFT calculation with PBE was carried out for a geometry-optimized YHoCd6 structure.

Cell lengths 5.0530, 5.0530, 7.1460 Å; angles 90.00, 90.00, 90.00 degrees
Closest atoms and distances in Å follow each position.
Space group P4/mmm (No. 123)
Inequivalent atoms, fractional coordinates:
Y (0.0000, 0.0000, 0.0000) [1 per cell]  8 Cd 3.10
Ho (0.5000, 0.5000, 0.5000) [1 per cell]  8 Cd 3.09
Cd (0.0000, 0.0000, 0.5000) [1 per cell]  8 Cd 3.09
Cd (0.0000, 0.5000, 0.2514) [4 per cell]  4 Cd 3.09-3.10, 2 Ho 3.09, 2 Y 3.10
Cd (0.5000, 0.5000, 0.0000) [1 per cell]  8 Cd 3.10

Results
M_tot (μB per formula unit): 0.00

***

## two
A plane-wave DFT calculation with PBE was carried out for a geometry-optimized YHoCd6 structure.

Cell lengths 4.8389, 7.1402, 10.7029 Å; angles 90.00, 90.00, 90.00 degrees
Closest atoms and distances in Å follow each position.
Space group Amm2 (No. 38)
Inequivalent atoms, fractional coordinates:
Y (0.0000, 0.0000, 0.0000) [2 per cell]  10 Cd 3.17-3.28
Ho (0.5000, 0.0000, 0.2668) [2 per cell]  10 Cd 3.16-3.28
Cd (0.0000, 0.0000, 0.4570) [2 per cell]  8 Cd 2.99-3.29, 2 Ho 3.16
Cd (0.0000, 0.2152, 0.7291) [4 per cell]  7 Cd 2.99-3.29, 2 Y 3.19-3.28, 2 Ho 3.19
Cd (0.5000, 0.0000, 0.8089) [2 per cell]  8 Cd 2.99-3.28, 2 Y 3.17
Cd (0.5000, 0.2143, 0.5379) [4 per cell]  7 Cd 2.99-3.28, 2 Ho 3.19-3.28, 2 Y 3.19

Results
M_tot (μB per formula unit): 0.00

***

Which one is most stable, and which one is least stable? two is the most stable of them, while one is the least stable.

***

## one
A plane-wave DFT calculation with PBE was carried out for a geometry-optimized SmCdI structure.

Cell lengths 7.2840, 3.9462, 7.4018 Å; angles 90.00, 106.09, 90.00 degrees
Closest atoms and distances in Å follow each position.
Space group P2_1/m (No. 11)
Inequivalent atoms, fractional coordinates:
Sm (0.0130, 0.2500, 0.2114) [2 per cell]  3 I 3.19-3.20, 3 Cd 3.25-3.29
Cd (0.3449, 0.2500, 0.9952) [2 per cell]  2 Cd 2.99, 3 Sm 3.25-3.29
I (0.2652, 0.7500, 0.5235) [2 per cell]  3 Sm 3.19-3.20

Results
M_tot (μB per formula unit): 0.01

***

## two
A plane-wave DFT calculation with PBE was carried out for a geometry-optimized SmCdI structure.

Cell lengths 6.7820, 3.9174, 8.0648 Å; angles 90.00, 106.57, 90.00 degrees
Closest atoms and distances in Å follow each position.
Space group Cm (No. 8)
Inequivalent atoms, fractional coordinates:
Sm (0.0000, 0.0000, 0.0000) [2 per cell]  3 I 3.16, 3 Cd 3.21
Cd (0.2668, 0.5000, 0.2953) [2 per cell]  3 Sm 3.21
I (0.2367, 0.0000, 0.7149) [2 per cell]  3 Sm 3.16

Results
M_tot (μB per formula unit): 0.01

***

Which one is most stable, and which one is least stable? one is the most stable of them, while two is the least stable.

***

## one
A plane-wave DFT calculation with PBE was carried out for a geometry-optimized LiLuCdIn structure.

Cell lengths 7.0176, 7.0176, 7.0176 Å; angles 90.00, 90.00, 90.00 degrees
Closest atoms and distances in Å follow each position.
Space group F-43m (No. 216)
Inequivalent atoms, fractional coordinates:
Li (0.0000, 0.0000, 0.0000) [4 per cell]  4 Lu 3.04, 4 Cd 3.04
Lu (0.2500, 0.2500, 0.7500) [4 per cell]  4 In 3.04, 4 Li 3.04
Cd (0.2500, 0.2500, 0.2500) [4 per cell]  4 Li 3.04, 4 In 3.04
In (0.0000, 0.0000, 0.5000) [4 per cell]  4 Cd 3.04, 4 Lu 3.04

Results
M_tot (μB per formula unit): 0.00

***

## two
A plane-wave DFT calculation with PBE was carried out for a geometry-optimized LiLuCdIn structure.

Cell lengths 7.0677, 7.0677, 7.0677 Å; angles 90.00, 90.00, 90.00 degrees
Closest atoms and distances in Å follow each position.
Space group F-43m (No. 216)
Inequivalent atoms, fractional coordinates:
Li (0.0000, 0.0000, 0.0000) [4 per cell]  4 Cd 3.06, 4 In 3.06
Lu (0.0000, 0.0000, 0.5000) [4 per cell]  4 In 3.06, 4 Cd 3.06
Cd (0.2500, 0.2500, 0.2500) [4 per cell]  4 Li 3.06, 4 Lu 3.06
In (0.2500, 0.2500, 0.7500) [4 per cell]  4 Li 3.06, 4 Lu 3.06

Results
M_tot (μB per formula unit): 0.00

***

## three
A plane-wave DFT calculation with PBE was carried out for a geometry-optimized LiLuCdIn structure.

Cell lengths 6.9745, 6.9745, 6.9745 Å; angles 90.00, 90.00, 90.00 degrees
Closest atoms and distances in Å follow each position.
Space group F-43m (No. 216)
Inequivalent atoms, fractional coordinates:
Li (0.0000, 0.0000, 0.0000) [4 per cell]  4 In 3.02, 4 Lu 3.02
Lu (0.2500, 0.2500, 0.2500) [4 per cell]  4 Cd 3.02, 4 Li 3.02
Cd (0.0000, 0.0000, 0.5000) [4 per cell]  4 In 3.02, 4 Lu 3.02
In (0.2500, 0.2500, 0.7500) [4 per cell]  4 Cd 3.02, 4 Li 3.02

Results
M_tot (μB per formula unit): 0.00

***

Which one is most stable, and which one is least stable? two is the most stable of them, while one is the least stable.

***

## one
A plane-wave DFT calculation with PBE was carried out for a geometry-optimized CdInNO structure.

Cell lengths 4.6880, 4.6880, 4.7264 Å; angles 90.00, 90.00, 90.00 degrees
Closest atoms and distances in Å follow each position.
Space group P4/nmm (No. 129, origin choice 2)
Inequivalent atoms, fractional coordinates:
Cd (0.2500, 0.2500, 0.0018) [2 per cell]  4 O 2.34, 2 N 2.36-2.37
In (0.2500, 0.7500, 0.5000) [2 per cell]  4 N 2.34, 2 O 2.36
N (0.2500, 0.2500, 0.5012) [2 per cell]  4 In 2.34, 2 Cd 2.36-2.37
O (0.2500, 0.7500, 0.0000) [2 per cell]  4 Cd 2.34, 2 In 2.36

***

## two
A plane-wave DFT calculation with PBE was carried out for a geometry-optimized CdInNO structure.

Cell lengths 3.5904, 6.1986, 5.7691 Å; angles 90.00, 90.00, 90.00 degrees
Closest atoms and distances in Å follow each position.
Space group Pmc2_1 (No. 26)
Inequivalent atoms, fractional coordinates:
Cd (0.0000, 0.1563, 0.0000) [2 per cell]  2 N 2.21-2.22, 2 O 2.29
In (0.5000, 0.3283, 0.4931) [2 per cell]  2 N 2.10, 2 O 2.14-2.15
N (0.0000, 0.1841, 0.3841) [2 per cell]  2 In 2.10, 2 Cd 2.21-2.22
O (0.5000, 0.3471, 0.8649) [2 per cell]  2 In 2.14-2.15, 2 Cd 2.29

***

## three
A plane-wave DFT calculation with PBE was carried out for a geometry-optimized CdInNO structure.

Cell lengths 3.9567, 3.9567, 7.4999 Å; angles 90.00, 90.00, 90.00 degrees
Closest atoms and distances in Å follow each position.
Space group P4/nmm (No. 129, origin choice 2)
Inequivalent atoms, fractional coordinates:
Cd (0.2500, 0.7500, 0.0000) [2 per cell]  4 N 2.37
In (0.2500, 0.2500, 0.3759) [2 per cell]  4 O 2.19
N (0.2500, 0.2500, 0.8262) [2 per cell]  4 Cd 2.37
O (0.2500, 0.7500, 0.5000) [2 per cell]  4 In 2.19

***

## four
A plane-wave DFT calculation with PBE was carried out for a geometry-optimized CdInNO structure.

Cell lengths 6.1970, 7.2391, 5.7188 Å; angles 90.00, 90.00, 90.00 degrees
Closest atoms and distances in Å follow each position.
Space group Pca2_1 (No. 29)
Inequivalent atoms, fractional coordinates:
Cd (0.0821, 0.1336, 0.0000) [4 per cell]  1 N 2.20, 3 O 2.22-2.28
In (0.0886, 0.6175, 0.9976) [4 per cell]  3 N 2.13-2.14, 1 O 2.14
N (0.0872, 0.6173, 0.6237) [4 per cell]  3 In 2.13-2.14, 1 Cd 2.20
O (0.0681, 0.1331, 0.6020) [4 per cell]  1 In 2.14, 3 Cd 2.22-2.28

***

Which one is most stable, and which one is least stable? four is the most stable of them, while three is the least stable.

***

## one
A plane-wave DFT calculation with PBE was carried out for a geometry-optimized CdInNO structure.

Cell lengths 3.6043, 6.1984, 5.8211 Å; angles 90.00, 90.00, 90.00 degrees
Closest atoms and distances in Å follow each position.
Space group Pmc2_1 (No. 26)
Inequivalent atoms, fractional coordinates:
Cd (0.0000, 0.1747, 0.0000) [2 per cell]  2 N 2.20, 2 O 2.27-2.31
In (0.5000, 0.3438, 0.5100) [2 per cell]  2 N 2.11-2.12, 2 O 2.18
N (0.5000, 0.3389, 0.8729) [2 per cell]  2 In 2.11-2.12, 2 Cd 2.20
O (0.0000, 0.1785, 0.3963) [2 per cell]  2 In 2.18, 2 Cd 2.27-2.31

***

## two
A plane-wave DFT calculation with PBE was carried out for a geometry-optimized CdInNO structure.

Cell lengths 6.1415, 7.4305, 5.7289 Å; angles 90.00, 90.00, 90.00 degrees
Closest atoms and distances in Å follow each position.
Space group Pca2_1 (No. 29)
Inequivalent atoms, fractional coordinates:
Cd (0.0951, 0.1110, 0.0000) [4 per cell]  3 N 2.20-2.21
In (0.0774, 0.6351, 0.9883) [4 per cell]  1 N 2.04, 3 O 2.15-2.16
N (0.0657, 0.1381, 0.6196) [4 per cell]  1 In 2.04, 3 Cd 2.20-2.21
O (0.0955, 0.5979, 0.6165) [4 per cell]  3 In 2.15-2.16

***

Which one is most stable, and which one is least stable? one is the most stable of them, while two is the least stable.

***

## one
A plane-wave DFT calculation with PBE was carried out for a geometry-optimized NdCdInTe3 structure.

Cell lengths 15.2810, 4.5436, 12.1096 Å; angles 90.00, 90.00, 90.00 degrees
Closest atoms and distances in Å follow each position.
Space group Pnma (No. 62)
Inequivalent atoms, fractional coordinates:
Nd (0.0277, 0.2500, 0.1577) [4 per cell]  6 Te 3.12-3.30
Cd (0.0202, 0.7500, 0.3974) [4 per cell]  4 Te 2.85-2.94
In (0.2416, 0.2500, 0.4578) [4 per cell]  2 Te 3.29
Te (0.0971, 0.7500, 0.6198) [4 per cell]  3 Cd 2.90-2.94
Te (0.1060, 0.2500, 0.9194) [4 per cell]  3 Nd 3.12-3.19, 2 In 3.29
Te (0.1586, 0.7500, 0.2399) [4 per cell]  1 Cd 2.85, 2 Nd 3.19

Results
M_tot (μB per formula unit): 0.00

***

## two
A plane-wave DFT calculation with PBE was carried out for a geometry-optimized NdCdInTe3 structure.

Cell lengths 11.8807, 4.5318, 15.2452 Å; angles 90.00, 90.00, 90.00 degrees
Closest atoms and distances in Å follow each position.
Space group Pnma (No. 62)
Inequivalent atoms, fractional coordinates:
Nd (0.0144, 0.2500, 0.2445) [4 per cell]  6 Te 3.20-3.26
Cd (0.2385, 0.2500, 0.7195) [4 per cell]  4 Te 2.83-2.89
In (0.2242, 0.7500, 0.5109) [4 per cell]  7 Te 3.50-3.68, 2 Cd 3.91
Te (0.0418, 0.2500, 0.6127) [4 per cell]  1 Cd 2.85
Te (0.0743, 0.7500, 0.1043) [4 per cell]  1 Cd 2.83
Te (0.2384, 0.7500, 0.8374) [4 per cell]  2 Cd 2.89

Results
M_tot (μB per formula unit): 0.01

***

Which one is most stable, and which one is least stable? two is the most stable of them, while one is the least stable.

***

## one
A plane-wave DFT calculation with PBE was carried out for a geometry-optimized NdCdInTe3 structure.

Cell lengths 12.9067, 4.6724, 13.3080 Å; angles 90.00, 90.00, 90.00 degrees
Closest atoms and distances in Å follow each position.
Space group Pnma (No. 62)
Inequivalent atoms, fractional coordinates:
Nd (0.0245, 0.2500, 0.1823) [4 per cell]  6 Te 3.21-3.35
Cd (0.2442, 0.7500, 0.2991) [4 per cell]  4 Te 2.82-2.88
In (0.1722, 0.2500, 0.4936) [4 per cell]  5 Te 3.33-3.50, 2 Cd 3.61
Te (0.0314, 0.7500, 0.3531) [4 per cell]  1 Cd 2.84
Te (0.0922, 0.2500, 0.9391) [4 per cell]  1 Cd 2.82
Te (0.2239, 0.7500, 0.6766) [4 per cell]  2 Cd 2.88

Results
M_tot (μB per formula unit): 0.00

***

## two
A plane-wave DFT calculation with PBE was carried out for a geometry-optimized NdCdInTe3 structure.

Cell lengths 8.8367, 4.7001, 18.8814 Å; angles 90.00, 90.00, 90.00 degrees
Closest atoms and distances in Å follow each position.
Space group Pnma (No. 62)
Inequivalent atoms, fractional coordinates:
Nd (0.2289, 0.2500, 0.0408) [4 per cell]  7 Te 3.18-3.39
Cd (0.0728, 0.2500, 0.3399) [4 per cell]  3 Te 2.83-2.90
In (0.0580, 0.2500, 0.8010) [4 per cell]  6 Te 3.46-3.52, 2 Cd 3.73
Te (0.0062, 0.2500, 0.5778) [4 per cell]  2 Cd 2.90
Te (0.1297, 0.7500, 0.9358) [4 per cell]  1 Cd 3.19, 3 Nd 3.20, 2 In 3.52
Te (0.2293, 0.2500, 0.2092) [4 per cell]  1 Cd 2.83

Results
M_tot (μB per formula unit): 0.00

***

Which one is most stable, and which one is least stable? one is the most stable of them, while two is the least stable.

***

## one
A plane-wave DFT calculation with PBE was carried out for a geometry-optimized NdCdInTe3 structure.

Cell lengths 19.5937, 4.4653, 9.6611 Å; angles 90.00, 103.80, 90.00 degrees
Closest atoms and distances in Å follow each position.
Space group C2/m (No. 12)
Inequivalent atoms, fractional coordinates:
Nd (0.1752, 0.0000, 0.0917) [4 per cell]  6 Te 3.11-3.34
Cd (0.0311, 0.5000, 0.2216) [4 per cell]  4 Te 2.89-3.05
In (0.1336, 0.0000, 0.5776) [4 per cell]  7 Te 3.39-3.58
Te (0.0000, 0.0000, 0.0000) [2 per cell]  4 Cd 3.05, 2 Nd 3.34
Te (0.0000, 0.5000, 0.5000) [2 per cell]  2 Cd 2.90
Te (0.1619, 0.5000, 0.8562) [4 per cell]  3 Nd 3.11-3.15, 2 In 3.44
Te (0.1822, 0.5000, 0.3275) [4 per cell]  1 Cd 2.89, 2 Nd 3.17

Results
M_tot (μB per formula unit): 0.01

***

## two
A plane-wave DFT calculation with PBE was carried out for a geometry-optimized NdCdInTe3 structure.

Cell lengths 8.7667, 4.5447, 11.2335 Å; angles 90.00, 105.91, 90.00 degrees
Closest atoms and distances in Å follow each position.
Space group P2_1/m (No. 11)
Inequivalent atoms, fractional coordinates:
Nd (0.1936, 0.2500, 0.1396) [2 per cell]  6 Te 3.15-3.35
Cd (0.4206, 0.7500, 0.3902) [2 per cell]  4 Te 2.83-2.98
In (0.2414, 0.7500, 0.7157) [2 per cell]  4 Te 3.37-3.54
Te (0.0574, 0.2500, 0.8495) [2 per cell]  3 Nd 3.15-3.19, 2 In 3.37
Te (0.2483, 0.2500, 0.4466) [2 per cell]  3 Cd 2.89-2.98
Te (0.4510, 0.7500, 0.1459) [2 per cell]  1 Cd 2.83

Results
M_tot (μB per formula unit): 0.01

***

Which one is most stable, and which one is least stable? two is the most stable of them, while one is the least stable.

***

## one
A plane-wave DFT calculation with PBE was carried out for a geometry-optimized CdInPO structure.

Cell lengths 4.0363, 4.0363, 8.8733 Å; angles 90.00, 90.00, 90.00 degrees
Closest atoms and distances in Å follow each position.
Space group P4/nmm (No. 129, origin choice 2)
Inequivalent atoms, fractional coordinates:
Cd (0.2500, 0.7500, 0.0000) [2 per cell]  4 P 2.69, 4 Cd 2.85
In (0.2500, 0.2500, 0.3904) [2 per cell]  4 O 2.24
P (0.2500, 0.2500, 0.8003) [2 per cell]  4 Cd 2.69
O (0.2500, 0.7500, 0.5000) [2 per cell]  4 In 2.24

***

## two
A plane-wave DFT calculation with PBE was carried out for a geometry-optimized CdInPO structure.

Cell lengths 4.4380, 4.4380, 9.2810 Å; angles 90.00, 90.00, 90.00 degrees
Closest atoms and distances in Å follow each position.
Space group P4/nmm (No. 129, origin choice 2)
Inequivalent atoms, fractional coordinates:
Cd (0.2500, 0.2500, 0.0480) [2 per cell]  4 O 2.26
In (0.2500, 0.7500, 0.5000) [2 per cell]  4 P 2.65
P (0.2500, 0.2500, 0.3432) [2 per cell]  4 In 2.65, 1 Cd 2.74
O (0.2500, 0.7500, 0.0000) [2 per cell]  4 Cd 2.26

***

Which one is most stable, and which one is least stable? one is the most stable of them, while two is the least stable.